Record 1
# CuPRu2 | the Alexandria database | PBE-GGA | relaxed
# Magnetization   0.0 μB per formula unit
# Total DFT energy (no corrections)   -56.04 eV per cell
# Density of states at the Fermi level   0.860 states/eV per atom
# DFT formation energy   9 meV per atom
data_CuPRu2
_chemical_formula_sum 'Cu2 P2 Ru4'
_symmetry_space_group_name_H-M 'I m m 2'
_symmetry_Int_Tables_number 44
_symmetry_space_group_name_Hall 'I 2 -2'
_cell_length_a 2.8681
_cell_length_b 3.9418
_cell_length_c 9.4049
_cell_angle_alpha 90.00
_cell_angle_beta 90.00
_cell_angle_gamma 90.00
loop_
_atom_site_label
_atom_site_type_symbol
_atom_site_fract_x
_atom_site_fract_y
_atom_site_fract_z
Cu1 Cu 0.0000 0.0000 0.0000
P1 P 0.0000 0.5000 0.7224
Ru1 Ru 0.0000 0.0000 0.4163
Ru2 Ru 0.0000 0.5000 0.1865

Record 2
# MnNb2AgOs | the Alexandria database | PBE-GGA | relaxed
# Magnetization   0.0 μB per formula unit
# Total DFT energy (no corrections)   -38.78 eV per cell
# Density of states at the Fermi level   0.960 states/eV per atom
# DFT formation energy   921 meV per atom
data_MnNb2AgOs
_chemical_formula_sum 'Mn1 Nb2 Ag1 Os1'
_symmetry_space_group_name_H-M 'P 4/m m m'
_symmetry_Int_Tables_number 123
_symmetry_space_group_name_Hall '-P 4 2'
_cell_length_a 4.5757
_cell_length_b 4.5757
_cell_length_c 4.4674
_cell_angle_alpha 90.00
_cell_angle_beta 90.00
_cell_angle_gamma 90.00
loop_
_atom_site_label
_atom_site_type_symbol
_atom_site_fract_x
_atom_site_fract_y
_atom_site_fract_z
Mn1 Mn 0.0000 0.0000 0.0000
Nb1 Nb 0.0000 0.5000 0.0000
Ag1 Ag 0.5000 0.5000 0.5000
Os1 Os 0.0000 0.0000 0.5000

Record 3
# Sc2FeNiAu | the Alexandria database | PBE-GGA | relaxed
# Magnetization   2.5 μB per formula unit
# Total DFT energy (no corrections)   -29.84 eV per cell
# Density of states at the Fermi level   1.263 states/eV per atom
# DFT formation energy   70 meV per atom
data_Sc2FeNiAu
_chemical_formula_sum 'Sc2 Fe1 Ni1 Au1'
_symmetry_space_group_name_H-M 'P 4/m m m'
_symmetry_Int_Tables_number 123
_symmetry_space_group_name_Hall '-P 4 2'
_cell_length_a 4.7814
_cell_length_b 4.7814
_cell_length_c 4.3337
_cell_angle_alpha 90.00
_cell_angle_beta 90.00
_cell_angle_gamma 90.00
loop_
_atom_site_label
_atom_site_type_symbol
_atom_site_fract_x
_atom_site_fract_y
_atom_site_fract_z
Sc1 Sc 0.0000 0.5000 0.0000
Fe1 Fe 0.0000 0.0000 0.5000
Ni1 Ni 0.0000 0.0000 0.0000
Au1 Au 0.5000 0.5000 0.5000

Record 4
# Tl4CdIn2 | the Alexandria database | PBE-GGA | relaxed
# Magnetization   0.0 μB per formula unit
# Total DFT energy (no corrections)   -30.82 eV per cell
# Density of states at the Fermi level   0.533 states/eV per atom
# DFT formation energy   64 meV per atom
# E above lowest polymorph   0 meV per atom
data_Tl4CdIn2
_chemical_formula_sum 'Tl8 Cd2 In4'
_symmetry_space_group_name_H-M 'C m m m'
_symmetry_Int_Tables_number 65
_symmetry_space_group_name_Hall '-C 2 2'
_cell_length_a 9.4154
_cell_length_b 9.4233
_cell_length_c 4.8243
_cell_angle_alpha 90.00
_cell_angle_beta 90.00
_cell_angle_gamma 90.00
loop_
_atom_site_label
_atom_site_type_symbol
_atom_site_fract_x
_atom_site_fract_y
_atom_site_fract_z
Tl1 Tl 0.1849 0.0000 0.0000
Tl2 Tl 0.2500 0.2500 0.5000
Cd1 Cd 0.0000 0.5000 0.5000
In1 In 0.0000 0.3048 0.0000